An optimized crystal structure of MgZnGaMo2. Source: the Alexandria database, functional PBE.

Summary:
The value obtained for the formation energy from the elements is 1.786 eV per atom. The value obtained for the magnetic moment is 2.99 μB/f.u. The theoretical density comes out at 5736 kg/m³. The total energy comes out at -3.725 eV per atom.

abc: 4.7143 4.5764 4.7143
angles: 90.00 90.00 90.00
With the nearest neighbours (Å) after each atom.
Positions (direct):
Mo1 0.0000 0.0000 0.5000  2 Mg 2.36
Mo2 0.5000 0.0000 0.0000  2 Mg 2.36
Zn1 0.5000 0.5000 0.5000  8 Mo 3.29, 4 Ga 3.33
Mg1 0.0000 0.0000 0.0000  2 Ga 2.29, 4 Mo 2.36
Ga1 0.0000 0.5000 0.0000  2 Mg 2.29

***

An optimized crystal structure of PmZn2CoGe. Source: the Alexandria database, functional PBE.

Summary:
The value obtained for the formation energy from the elements is -0.336 eV per atom. The value obtained for the magnetic moment is 1.22 μB/f.u. The theoretical density comes out at 7595 kg/m³. The total energy comes out at -4.140 eV per atom.

abc: 4.1580 4.0761 6.0065
angles: 109.79 110.25 90.00
With the nearest neighbours (Å) after each atom.
Positions (direct):
Zn1 0.0625 0.0627 0.1251  2 Zn 2.45, 1 Ge 2.51, 2 Co 2.52
Zn2 0.6866 0.1869 0.3732  2 Zn 2.45, 2 Ge 2.49-2.50
Ge1 0.8235 0.8234 0.6471  2 Co 2.43, 3 Zn 2.49-2.51
Pm1 0.4363 0.4362 0.8725  4 Ge 3.14, 4 Co 3.19-3.49, 8 Zn 3.20-3.35
Co1 0.2032 0.7030 0.4064  2 Ge 2.43, 2 Zn 2.52

***

An optimized crystal structure of ZrSb2Rh. Source: the Alexandria database, functional PBE.

Summary:
The value obtained for the magnetic moment is 0.00 μB/f.u. The theoretical density comes out at 8878 kg/m³. As for the uncorrected formation energy: -281 meV/atom. The total energy comes out at -6.317 eV per atom.

abc: 4.8736 4.8736 4.8736
angles: 60.00 60.00 60.00
With the nearest neighbours (Å) after each atom.
Positions (direct):
Sb1 0.2500 0.2500 0.2500  4 Rh 2.98, 4 Zr 2.98
Sb2 0.7500 0.7500 0.7500  4 Zr 2.98, 4 Rh 2.98
Rh1 0.5000 0.5000 0.5000  8 Sb 2.98
Zr1 0.0000 0.0000 0.0000  8 Sb 2.98

***

An optimized crystal structure of TbGd3P4O16. Source: the Alexandria database, functional PBE.

Summary:
The value obtained for the magnetic moment is 20.99 μB/f.u. The theoretical density comes out at 5530 kg/m³. As for the uncorrected formation energy: -3001 meV/atom. The total energy comes out at -9.162 eV per atom.

abc: 5.8437 5.8437 9.3300
angles: 83.66 83.66 74.07
With the nearest neighbours (Å) after each atom.
Positions (direct):
O1 0.5684 0.5684 0.8540  1 P 1.56
O2 0.6852 0.0328 0.8917  1 P 1.56
O3 0.8981 0.8981 0.1791  1 P 1.55
O4 0.3958 0.3958 0.6816  1 P 1.56
O5 0.9302 0.9302 0.6479  1 P 1.56
O6 0.3154 0.9704 0.1072  1 P 1.56
O7 0.4675 0.8134 0.6094  1 P 1.55
O8 0.5317 0.1854 0.3909  1 P 1.56
O9 0.8134 0.4675 0.6094  1 P 1.55
O10 0.9704 0.3154 0.1072  1 P 1.56
O11 0.0328 0.6852 0.8917  1 P 1.56
O12 0.1854 0.5317 0.3909  1 P 1.56
O13 0.1035 0.1035 0.8216  1 P 1.56
O14 0.0710 0.0710 0.3521  1 P 1.56
O15 0.6025 0.6025 0.3194  1 P 1.56
O16 0.4288 0.4288 0.1462  1 P 1.56
P1 0.5615 0.5615 0.6884  4 O 1.55-1.56
P2 0.9380 0.9380 0.8135  4 O 1.56
P3 0.0635 0.0635 0.1866  4 O 1.55-1.56
P4 0.4370 0.4370 0.3116  4 O 1.56
Gd1 0.6876 0.6876 0.0621  8 O 2.37-2.43
Gd2 0.8125 0.8125 0.4374  8 O 2.37-2.43
Gd3 0.1874 0.1874 0.5629  8 O 2.37-2.43
Tb1 0.3125 0.3125 0.9376  8 O 2.36-2.41

***

An optimized crystal structure of Sm2Tl2In. Source: the Alexandria database, functional PBE.

Summary:
The value obtained for the formation energy from the elements is -0.342 eV per atom. For the energy above the lowest structure with this stoichiometry, the calculation gives 0 meV/atom. The value obtained for the magnetic moment is 0.00 μB/f.u. The theoretical density comes out at 9521 kg/m³. The total energy comes out at -3.724 eV per atom.

abc: 4.7148 7.8093 7.8093
angles: 90.00 90.00 90.00
With the nearest neighbours (Å) after each atom.
Positions (direct):
Sm1 0.5000 0.6691 0.8309  6 Tl 3.20-3.36
Sm2 0.5000 0.3309 0.1691  6 Tl 3.20-3.36
Sm3 0.5000 0.8309 0.3309  6 Tl 3.20-3.36
Sm4 0.5000 0.1691 0.6691  6 Tl 3.20-3.36
Tl1 0.0000 0.3648 0.8648  1 Tl 2.99, 2 In 3.04, 2 Sm 3.20
Tl2 0.0000 0.8648 0.6352  1 Tl 2.99, 2 In 3.04, 2 Sm 3.20
Tl3 0.0000 0.1352 0.3648  1 Tl 2.99, 2 In 3.04, 2 Sm 3.20
Tl4 0.0000 0.6352 0.1352  1 Tl 2.99, 2 In 3.04, 2 Sm 3.20
In1 0.0000 0.0000 0.0000  4 Tl 3.04
In2 0.0000 0.5000 0.5000  4 Tl 3.04

***

An optimized crystal structure of MgMnP2. Source: the Alexandria database, functional PBE.

Summary:
The value obtained for the formation energy from the elements is -0.234 eV per atom. The value obtained for the magnetic moment is 2.39 μB/f.u. The theoretical density comes out at 3495 kg/m³. The total energy comes out at -5.630 eV per atom.

abc: 6.6084 6.6084 3.5545
angles: 90.00 90.00 25.60
With the nearest neighbours (Å) after each atom.
Positions (direct):
Mn1 0.2991 0.2991 0.1250  6 P 2.32-2.47
P1 0.7302 0.7302 0.6250  4 Mn 2.47, 1 Mg 2.56
P2 0.9392 0.9392 0.1250  2 Mn 2.32, 4 Mg 2.59
Mg1 0.5315 0.5315 0.6251  5 P 2.56-2.59